[1]
This record from Alexandria via LeMat-Bulk describes a crystal of Ta2IrCl relaxed with PBEsol. The functional is meta-GGA SCAN.

Total magnetization in μB per formula unit: 0.00
Total energy in eV per atom: -53.23
Crystal system: tetragonal
Formation energy without anion corrections in eV per atom: -0.1695

Unit cell a=4.813 b=4.813 c=2.828 alpha=90.00 beta=90.00 gamma=90.00
Fractional positions:
Ta: 0.000 0.500 0.000
Ta: 0.500 0.000 0.000
Ir: 0.000 0.000 0.500
Cl: 0.500 0.500 0.000

[2]
This record from Alexandria via LeMat-Bulk describes a crystal of TaIrCl2 relaxed with PBEsol. The functional is meta-GGA SCAN.

Total magnetization in μB per formula unit: 0.00
Total energy in eV per atom: -38.04
Crystal system: orthorhombic
Formation energy without anion corrections in eV per atom: 0.3706

Unit cell a=3.970 b=3.970 c=4.287 alpha=90.00 beta=90.00 gamma=91.18
Fractional positions:
Ta: 0.000 0.000 0.000
Ir: 0.500 0.500 0.000
Cl: 0.237 0.763 0.500
Cl: 0.763 0.237 0.500

[3]
This record from Alexandria via LeMat-Bulk describes a crystal of TaIrCl3 relaxed with PBEsol. The functional is meta-GGA SCAN.

Total magnetization in μB per formula unit: 3.56
Total energy in eV per atom: -31.29
Crystal system: cubic
Formation energy without anion corrections in eV per atom: 1.0287

Unit cell a=4.699 b=4.699 c=4.699 alpha=90.00 beta=90.00 gamma=90.00
Fractional positions:
Ta: 0.000 0.000 0.000
Ir: 0.500 0.500 0.500
Cl: 0.000 0.500 0.500
Cl: 0.500 0.000 0.500
Cl: 0.500 0.500 0.000

[4]
This record from Alexandria via LeMat-Bulk describes a crystal of TaIrCl2 relaxed with PBEsol. The functional is meta-GGA SCAN.

Total magnetization in μB per formula unit: 0.00
Total energy in eV per atom: -38.00
Crystal system: orthorhombic
Formation energy without anion corrections in eV per atom: 0.4057

Unit cell a=2.852 b=4.312 c=5.157 alpha=90.00 beta=90.00 gamma=90.00
Fractional positions:
Ta: 0.000 0.000 0.000
Ir: 0.500 0.000 0.500
Cl: 0.000 0.500 0.500
Cl: 0.500 0.500 0.000

[5]
This record from Alexandria via LeMat-Bulk describes a crystal of TaIrCl2 relaxed with PBEsol. The functional is meta-GGA SCAN.

Total magnetization in μB per formula unit: 0.82
Total energy in eV per atom: -38.61
Crystal system: orthorhombic
Formation energy without anion corrections in eV per atom: -0.2045

Unit cell a=7.104 b=7.104 c=7.104 alpha=155.77 beta=143.91 gamma=43.94
Fractional positions:
Ta: 0.000 0.000 0.000
Ir: 0.500 0.500 0.000
Cl: 0.153 0.653 0.500
Cl: 0.847 0.347 0.500

[6]
This record from Alexandria via LeMat-Bulk describes a crystal of TaIrCl2 relaxed with PBEsol. The functional is meta-GGA SCAN.

Total magnetization in μB per formula unit: 0.00
Total energy in eV per atom: -37.34
Crystal system: orthorhombic
Formation energy without anion corrections in eV per atom: 1.0700

Unit cell a=4.775 b=4.775 c=2.900 alpha=90.00 beta=90.00 gamma=107.96
Fractional positions:
Ta: 0.000 0.000 0.000
Ir: 0.500 0.500 0.000
Cl: 0.000 0.500 0.500
Cl: 0.500 0.000 0.500

Repeat the fifth record exactly.
This record from Alexandria via LeMat-Bulk describes a crystal of TaIrCl2 relaxed with PBEsol. The functional is meta-GGA SCAN.

Total magnetization in μB per formula unit: 0.82
Total energy in eV per atom: -38.61
Crystal system: orthorhombic
Formation energy without anion corrections in eV per atom: -0.2045

Unit cell a=7.104 b=7.104 c=7.104 alpha=155.77 beta=143.91 gamma=43.94
Fractional positions:
Ta: 0.000 0.000 0.000
Ir: 0.500 0.500 0.000
Cl: 0.153 0.653 0.500
Cl: 0.847 0.347 0.500

> Which of these has the lowest formation energy without anion corrections?

number 5

> Look up the total magnetization of the fifth one.

0.82 μB per formula unit